1.
Material: Zr3TiB
Method: DFT, PBE
State: relaxed

The structure in POSCAR format:
```
Zr3TiB
1.0
-1.2852 0.0027 -4.4745
2.8658 -3.5747 -0.8253
-3.4363 -2.9823 0.9852
B Zr Ti
1 3 1
direct
0.0000 0.0000 0.0000
0.5000 0.0000 0.0000
0.0000 0.5000 0.0000
0.0000 0.0000 0.5000
0.5000 0.5000 0.5000
```

Summary:
E above lowest polymorph: 0.0 kJ per mole of atoms
formation enthalpy at 0 K: 0.041 eV/atom
SG: No. 221


2.
Material: ZrTiB
Method: DFT, PBE
State: relaxed

The structure in POSCAR format:
```
ZrTiB
1.0
-1.1943 2.8143 -0.8301
-0.3513 -1.9144 -5.9853
-8.7678 -3.2614 1.5578
B Zr Ti
4 4 4
direct
0.3851 0.5000 0.6651
0.6149 0.0000 0.1040
0.3851 0.0000 0.6040
0.6149 0.5000 0.1651
0.6506 0.5000 0.9002
0.3494 0.0000 0.8689
0.3494 0.5000 0.4002
0.6506 0.0000 0.3689
0.1001 0.7500 0.1346
0.1001 0.2500 0.1346
0.8999 0.2500 0.6346
0.8999 0.7500 0.6346
```

Summary:
formation enthalpy at 0 K: -0.237 eV/atom
SG: No. 57


3.
Material: ZrTi2B
Method: DFT, PBE
State: relaxed

The structure in POSCAR format:
```
ZrTi2B
1.0
7.2014 0.0000 0.0000
0.0000 7.2014 0.0000
3.6007 3.6007 2.5066
B Ti Zr
2 4 2
direct
0.5000 0.5000 0.0000
0.2500 0.7500 0.5000
0.3750 0.4490 0.7500
0.1990 0.6250 0.2500
0.8750 0.8010 0.7500
0.5510 0.1250 0.2500
0.0000 0.0000 0.0000
0.7500 0.2500 0.5000
```

Summary:
formation enthalpy at 0 K: 0.125 eV/atom
SG: No. 122


4.
Material: Zr2TiB
Method: DFT, PBE
State: relaxed

The structure in POSCAR format:
```
Zr2TiB
1.0
7.5044 0.0000 0.0000
0.0000 7.5044 0.0000
3.7522 3.7522 2.5152
Zr B Ti
4 2 2
direct
0.8750 0.8077 0.7500
0.3750 0.4423 0.7500
0.5577 0.1250 0.2500
0.1923 0.6250 0.2500
0.2500 0.7500 0.5000
0.5000 0.5000 0.0000
0.7500 0.2500 0.5000
0.0000 0.0000 0.0000
```

Summary:
formation enthalpy at 0 K: 0.224 eV/atom
SG: No. 122


The evaluated total energy for the records listed, in turn: -0.58814, -0.58384, -0.56073, -0.56540 Ry/atom.